(1)
The following is a PBEsol calculation of a relaxed structure of CeYFe4, from Alexandria.

The structure in CIF format:
```
data_CeYFe4
_space_group_name_H-M_alt 'F -4 3 m'
_space_group_IT_number 216
_space_group_name_Hall 'F -4 2 3'
_cell_length_a 7.108
_cell_length_b 7.108
_cell_length_c 7.108
_cell_angle_alpha 90.00
_cell_angle_beta 90.00
_cell_angle_gamma 90.00
loop_
_atom_site_label
_atom_site_fract_x
_atom_site_fract_y
_atom_site_fract_z
Ce1 0.000 0.000 0.000
Y1 0.250 0.250 0.250
Fe1 0.125 0.125 0.625
```

Values from the calculation:
Its crystal system is cubic. The energy relative to the elements is -0.04 eV per atom. The total energy is -49.49 eV per formula unit.


(2)
The following is a PBEsol calculation of a relaxed structure of LiRh2, from Alexandria.

The structure in CIF format:
```
data_LiRh2
_space_group_name_H-M_alt 'C 1 m 1'
_space_group_IT_number 8
_cell_length_a 9.642
_cell_length_b 2.639
_cell_length_c 6.425
_cell_angle_alpha 90.00
_cell_angle_beta 105.77
_cell_angle_gamma 90.00
loop_
_space_group_symop_operation_xyz
'x,y,z'
'x,-y,z'
'x+1/2,y+1/2,z'
'x+1/2,-y+1/2,z'
loop_
_atom_site_label
_atom_site_fract_x
_atom_site_fract_y
_atom_site_fract_z
Li1 0.000 0.000 0.000
Li2 0.154 0.500 0.349
Rh1 0.048 0.000 0.629
Rh2 0.234 0.500 0.958
Rh3 0.322 0.000 0.668
Rh4 0.376 0.000 0.295
```

Values from the calculation:
Its crystal system is monoclinic. The energy relative to the elements is -0.10 eV per atom. The total energy is -18.54 eV per formula unit.


(3)
The following is a PBEsol calculation of a relaxed structure of NaRuC2, from Alexandria.

The structure in CIF format:
```
data_NaRuC2
_space_group_name_H-M_alt 'F m -3 m'
_space_group_IT_number 225
_space_group_name_Hall '-F 4 2 3'
_cell_length_a 5.339
_cell_length_b 5.339
_cell_length_c 5.339
_cell_angle_alpha 90.00
_cell_angle_beta 90.00
_cell_angle_gamma 90.00
loop_
_atom_site_label
_atom_site_fract_x
_atom_site_fract_y
_atom_site_fract_z
Na1 0.000 0.000 0.000
Ru1 0.000 0.000 0.500
C1 0.250 0.250 0.250
```

Values from the calculation:
Its crystal system is cubic. The energy relative to the elements is 1.70 eV per atom. The total energy is -24.07 eV per formula unit. Its energy relative to the lowest polymorph listed for this composition is 837 meV/atom.


(4)
The following is a PBEsol calculation of a relaxed structure of Li2MoRh, from Alexandria.

The structure in CIF format:
```
data_Li2MoRh
_space_group_name_H-M_alt 'C 1 2/m 1'
_space_group_IT_number 12
_cell_length_a 5.134
_cell_length_b 9.478
_cell_length_c 2.657
_cell_angle_alpha 90.00
_cell_angle_beta 118.88
_cell_angle_gamma 90.00
loop_
_space_group_symop_operation_xyz
'x,y,z'
'-x,-y,-z'
'-x,y,-z'
'x,-y,z'
'x+1/2,y+1/2,z'
'-x+1/2,-y+1/2,-z'
'-x+1/2,y+1/2,-z'
'x+1/2,-y+1/2,z'
loop_
_atom_site_label
_atom_site_fract_x
_atom_site_fract_y
_atom_site_fract_z
Li1 0.250 0.250 0.000
Mo1 0.000 0.000 0.500
Rh1 0.000 0.500 0.500
```

Values from the calculation:
Its crystal system is monoclinic. The energy relative to the elements is 0.21 eV per atom. The total energy is -22.99 eV per formula unit. Its energy relative to the lowest polymorph listed for this composition is 80 meV/atom.


(5)
The following is a PBEsol calculation of a relaxed structure of SrAgRu2, from Alexandria.

The structure in CIF format:
```
data_SrAgRu2
_space_group_name_H-M_alt 'P 4/m m m'
_space_group_IT_number 123
_space_group_name_Hall '-P 4 2'
_cell_length_a 2.795
_cell_length_b 2.795
_cell_length_c 8.965
_cell_angle_alpha 90.00
_cell_angle_beta 90.00
_cell_angle_gamma 90.00
loop_
_atom_site_label
_atom_site_fract_x
_atom_site_fract_y
_atom_site_fract_z
Sr1 0.000 0.000 0.000
Ag1 0.000 0.000 0.500
Ru1 0.500 0.500 0.276
```

Values from the calculation:
Its crystal system is tetragonal. The energy relative to the elements is 0.91 eV per atom. The total energy is -21.84 eV per formula unit. Its energy relative to the lowest polymorph listed for this composition is 481 meV/atom.


(6)
The following is a PBEsol calculation of a relaxed structure of ReSi2Ir, from Alexandria.

The structure in CIF format:
```
data_ReSi2Ir
_space_group_name_H-M_alt 'P m m m'
_space_group_IT_number 47
_cell_length_a 2.852
_cell_length_b 3.948
_cell_length_c 4.939
_cell_angle_alpha 90.00
_cell_angle_beta 90.00
_cell_angle_gamma 90.00
loop_
_space_group_symop_operation_xyz
'x,y,z'
'-x,-y,-z'
'-x,-y,z'
'x,y,-z'
'x,-y,-z'
'-x,y,z'
'-x,y,-z'
'x,-y,z'
loop_
_atom_site_label
_atom_site_fract_x
_atom_site_fract_y
_atom_site_fract_z
Re1 0.000 0.000 0.000
Si1 0.000 0.500 0.500
Si2 0.500 0.500 0.000
Ir1 0.500 0.000 0.500
```

Values from the calculation:
Its crystal system is orthorhombic. The total energy is -34.76 eV per formula unit. Its energy relative to the lowest polymorph listed for this composition is 411 meV/atom.